Crystalline Mn3Ag2F8 at its relaxed geometry. Source: Alexandria via LeMat-Bulk, functional PBE+U.

Results
Raw total energy ... -5.446 eV/atom
Symmetry ... C2/m

abc: 6.670 6.670 5.659
angles: 105.49 105.49 59.92
Fractional coordinates of all 13 atoms:
Mn  0.000  0.000  0.000
Mn  0.258  0.742  0.500
Mn  0.742  0.258  0.500
Ag  0.282  0.282  0.853
Ag  0.718  0.718  0.147
F  0.095  0.095  0.397
F  0.114  0.675  0.117
F  0.325  0.886  0.883
F  0.398  0.398  0.572
F  0.602  0.602  0.428
F  0.675  0.114  0.117
F  0.886  0.325  0.883
F  0.905  0.905  0.603